Entry 1:
VASP calculation (PBE-GGA) on NiAgIr2 after structural relaxation.

The value obtained for the mass density is 15.8 g cm⁻³. For the electronic total energy, the calculation gives -6.2943 eV/atom. Its energy of formation is 0.294 eV/atom.

The space group is P4/mmm (No. 123) and the conventional cell measures 2.7096, 2.7096 and 7.8754 Å, with angles of 90.00, 90.00 and 90.00 degrees. The asymmetric unit holds Ni at (0.0000, 0.0000, 0.0000), Ag at (0.0000, 0.0000, 0.5000) and Ir at (0.5000, 0.5000, 0.2186).



Entry 2:
VASP calculation (PBE-GGA) on NiAgIr2 after structural relaxation.

The value obtained for the mass density is 15.8 g cm⁻³. For the electronic total energy, the calculation gives -6.3725 eV/atom. Its energy of formation is 0.216 eV/atom.

The space group is R-3m (No. 166, hexagonal axes) and the conventional cell measures 2.7352, 2.7352 and 26.8692 Å, with angles of 90.00, 90.00 and 120.00 degrees. The asymmetric unit holds Ni at (0.0000, 0.0000, 0.0000), Ag at (0.0000, 0.0000, 0.5000) and Ir at (0.0000, 0.0000, 0.2579).



Entry 3:
VASP calculation (PBE-GGA) on Ni3AgIr after structural relaxation.

The value obtained for the mass density is 8.4 g cm⁻³. For the electronic total energy, the calculation gives -4.6445 eV/atom. Its energy of formation is 1.167 eV/atom.

The space group is Pm-3m (No. 221) and the conventional cell measures 4.5506, 4.5506 and 4.5506 Å, with angles of 90.00, 90.00 and 90.00 degrees. The asymmetric unit holds Ni at (0.0000, 0.0000, 0.5000), Ag at (0.5000, 0.5000, 0.5000) and Ir at (0.0000, 0.0000, 0.0000).



- Number 1 is which compound?
  NiAgIr2



Please write out number 1 again, unchanged.
VASP calculation (PBE-GGA) on NiAgIr2 after structural relaxation.

The value obtained for the mass density is 15.8 g cm⁻³. For the electronic total energy, the calculation gives -6.2943 eV/atom. Its energy of formation is 0.294 eV/atom.

The space group is P4/mmm (No. 123) and the conventional cell measures 2.7096, 2.7096 and 7.8754 Å, with angles of 90.00, 90.00 and 90.00 degrees. The asymmetric unit holds Ni at (0.0000, 0.0000, 0.0000), Ag at (0.0000, 0.0000, 0.5000) and Ir at (0.5000, 0.5000, 0.2186).



- The highest electronic total energy belongs to which entry?
  Ni3AgIr